(1)
A plane-wave DFT calculation with PBE was carried out for an optimized crystal structure of CsH6RhPb.

abc: 5.152 5.151 6.058
angles: 90.02 90.00 59.99
Sites, in units of the cell vectors:
Cs 0.000 0.000 0.064
H 0.031 0.484 0.313
H 0.181 0.181 0.638
H 0.638 0.181 0.638
H 0.180 0.640 0.637
H 0.485 0.484 0.313
H 0.485 0.030 0.314
Rh 0.333 0.333 0.484
Pb 0.667 0.667 0.599

Values from the calculation:
final energy = -3.67 eV per atom
V = 139.20 Å³/cell

(2)
A plane-wave DFT calculation with PBE was carried out for an optimized crystal structure of CsHPbSe2.

abc: 5.431 7.909 8.797
angles: 116.71 90.00 90.00
Sites, in units of the cell vectors:
Cs 0.285 0.750 0.500
Cs 0.715 0.250 0.500
H 0.000 0.000 0.000
H 0.000 0.500 0.000
Pb 0.500 0.750 0.000
Pb 0.500 0.250 0.000
Se 0.811 0.905 0.810
Se 0.811 0.595 0.190
Se 0.189 0.405 0.810
Se 0.189 0.095 0.190

Values from the calculation:
final energy = -3.47 eV per atom
V = 337.53 Å³/cell

(3)
A plane-wave DFT calculation with PBE was carried out for an optimized crystal structure of Cs2HPbSe2.

abc: 7.179 11.408 9.459
angles: 127.09 112.30 90.00
Sites, in units of the cell vectors:
Cs 0.613 0.962 0.227
Cs 0.113 0.264 0.227
Cs 0.887 0.736 0.773
Cs 0.387 0.038 0.773
H 0.250 0.000 0.000
H 0.750 0.000 0.000
Pb 0.750 0.500 0.000
Pb 0.250 0.500 0.000
Se 0.391 0.537 0.781
Se 0.609 0.463 0.219
Se 0.109 0.755 0.219
Se 0.891 0.245 0.781

Values from the calculation:
final energy = -3.10 eV per atom
V = 543.54 Å³/cell

(4)
A plane-wave DFT calculation with PBE was carried out for an optimized crystal structure of Cs2HPd.

abc: 5.734 5.734 5.734
angles: 60.00 60.00 60.00
Each line ends with the local moment (μB).
Sites, in units of the cell vectors:
Cs 0.250 0.250 0.250  0.05
Cs 0.750 0.750 0.750  0.05
H 0.000 0.000 0.000  0.02
Pd 0.500 0.500 0.500  0.20

Values from the calculation:
energy relative to the lowest polymorph listed for this composition = 348 meV per atom
final energy = -2.25 eV per atom
V = 133.29 Å³/cell

What is the V in the second record?
337.53 Å³/cell

Among the records above, which one has the highest final energy?
Cs2HPd

What is the formula in the first record?
CsH6RhPb